## HfZr3Sb2 (GGA-PBE)

Data for a relaxed HfZr3Sb2 crystal.

The calculation puts the distance to the lowest polymorph of the same formula at 0.637 eV/atom. The calculated volume is 143.0 Å³/f.u. The final energy is -43.52 eV for the cell shown. Its spin magnetization is 0.0000 μB/atom. Its uncorrected formation energy is 54 meV per atom.

The structure in extended XYZ format:
```
6
Lattice="-1.3748 2.4125 -1.4507 2.3160 -1.4611 -4.6245 -7.1658 -5.3763 1.2330" Properties=species:S:1:pos:R:3 pbc="T T T"
Hf 0.0000 0.0000 0.0000
Zr -2.3897 -1.7491 -0.6441
Zr -3.8350 -2.6758 -4.1981
Zr 1.1580 -0.7306 -2.3123
Sb -1.5427 -0.9979 -3.5803
Sb -4.6820 -3.4270 -1.2620
```